Version a
Below is a relaxed structure of PmDyAgRh, with properties calculated at the PBE-GGA level.

a b c (Å): 5.0513 5.0513 5.0513
angles (deg): 60.00 60.00 60.00
Positions (direct):
Pm 0.0000 0.0000 0.0000
Dy 0.5000 0.5000 0.5000
Ag 0.2500 0.2500 0.2500
Rh 0.7500 0.7500 0.7500

Results
Crystal system   cubic
N(E_F)   3.5 states/eV/f.u.
Density   9443 kg/m³

---

Version b
Below is a relaxed structure of PmDyAgRh, with properties calculated at the PBE-GGA level.

a b c (Å): 3.5484 3.5484 7.2824
angles (deg): 90.00 90.00 90.00
Positions (direct):
Pm 0.0000 0.0000 0.0000
Dy 0.0000 0.0000 0.5416
Ag 0.5000 0.5000 0.2850
Rh 0.5000 0.5000 0.7603

Results
Crystal system   tetragonal
N(E_F)   3.7 states/eV/f.u.
Density   9386 kg/m³

---

Energies in eV/atom, measured from the most stable structure: version a 0.027; version b 0.000.

---

Version a
Below is a relaxed structure of PmDyScAg, with properties calculated at the PBE-GGA level.

a b c (Å): 3.5549 3.5549 8.4370
angles (deg): 90.00 90.00 90.00
Positions (direct):
Pm 0.0000 0.0000 0.0000
Dy 0.5000 0.5000 0.6930
Sc 0.5000 0.5000 0.2803
Ag 0.0000 0.0000 0.4649

Results
Crystal system   tetragonal
N(E_F)   6.2 states/eV/f.u.
Density   7169 kg/m³

---

Version b
Below is a relaxed structure of PmDyScAg, with properties calculated at the PBE-GGA level.

a b c (Å): 5.2494 5.2494 5.2494
angles (deg): 60.00 60.00 60.00
Positions (direct):
Pm 0.0000 0.0000 0.0000
Dy 0.2500 0.2500 0.2500
Sc 0.7500 0.7500 0.7500
Ag 0.5000 0.5000 0.5000

Results
Crystal system   cubic
N(E_F)   5.4 states/eV/f.u.
Density   7473 kg/m³

---

Energies in eV/atom, measured from the most stable structure: version a 0.000; version b 0.213.

---

Version a
Below is a relaxed structure of PmSmDyAg, with properties calculated at the PBE-GGA level.

a b c (Å): 3.6458 3.6458 8.8359
angles (deg): 90.00 90.00 90.00
Positions (direct):
Pm 0.0000 0.0000 0.0000
Sm 0.5000 0.5000 0.7079
Dy 0.5000 0.5000 0.2867
Ag 0.0000 0.0000 0.4861

Results
Crystal system   tetragonal
N(E_F)   5.1 states/eV/f.u.
Density   7999 kg/m³

---

Version b
Below is a relaxed structure of PmSmDyAg, with properties calculated at the PBE-GGA level.

a b c (Å): 5.4517 5.4517 5.4517
angles (deg): 60.00 60.00 60.00
Positions (direct):
Pm 0.0000 0.0000 0.0000
Sm 0.7500 0.7500 0.7500
Dy 0.2500 0.2500 0.2500
Ag 0.5000 0.5000 0.5000

Results
Crystal system   cubic
N(E_F)   6.7 states/eV/f.u.
Density   8199 kg/m³

---

Energies in eV/atom, measured from the most stable structure: version a 0.000; version b 0.226.

---

Version a
Below is a relaxed structure of TbPmDyAg, with properties calculated at the PBE-GGA level.

a b c (Å): 3.6197 3.6197 8.8012
angles (deg): 90.00 90.00 90.00
Positions (direct):
Tb 0.0000 0.0000 0.0000
Pm 0.5000 0.5000 0.2911
Dy 0.0000 0.0000 0.5811
Ag 0.5000 0.5000 0.7882

Results
Crystal system   tetragonal
N(E_F)   4.9 states/eV/f.u.
Density   8270 kg/m³

---

Version b
Below is a relaxed structure of TbPmDyAg, with properties calculated at the PBE-GGA level.

a b c (Å): 5.4212 5.4212 5.4212
angles (deg): 60.00 60.00 60.00
Positions (direct):
Tb 0.0000 0.0000 0.0000
Pm 0.2500 0.2500 0.2500
Dy 0.5000 0.5000 0.5000
Ag 0.7500 0.7500 0.7500

Results
Crystal system   cubic
N(E_F)   6.3 states/eV/f.u.
Density   8465 kg/m³

---

Energies in eV/atom, measured from the most stable structure: version a 0.000; version b 0.231.

---

Version a
Below is a relaxed structure of PmDyTlAg, with properties calculated at the PBE-GGA level.

a b c (Å): 3.6870 3.6870 7.8446
angles (deg): 90.00 90.00 90.00
Positions (direct):
Pm 0.0000 0.0000 0.0000
Dy 0.0000 0.0000 0.5300
Tl 0.5000 0.5000 0.2712
Ag 0.5000 0.5000 0.7453

Results
Crystal system   tetragonal
N(E_F)   3.2 states/eV/f.u.
Density   9650 kg/m³

---

Version b
Below is a relaxed structure of PmDyTlAg, with properties calculated at the PBE-GGA level.

a b c (Å): 5.3314 5.3314 5.3314
angles (deg): 60.00 60.00 60.00
Positions (direct):
Pm 0.0000 0.0000 0.0000
Dy 0.5000 0.5000 0.5000
Tl 0.2500 0.2500 0.2500
Ag 0.7500 0.7500 0.7500

Results
Crystal system   cubic
N(E_F)   3.6 states/eV/f.u.
Density   9604 kg/m³

---

Energies in eV/atom, measured from the most stable structure: version a 0.000; version b 0.005.

---

Version a
Below is a relaxed structure of PmDyTmAg, with properties calculated at the PBE-GGA level.

a b c (Å): 5.3860 5.3860 5.3860
angles (deg): 60.00 60.00 60.00
Positions (direct):
Pm 0.0000 0.0000 0.0000
Dy 0.2500 0.2500 0.2500
Tm 0.7500 0.7500 0.7500
Ag 0.5000 0.5000 0.5000

Results
Crystal system   cubic
N(E_F)   5.9 states/eV/f.u.
Density   8782 kg/m³

---

Version b
Below is a relaxed structure of PmDyTmAg, with properties calculated at the PBE-GGA level.

a b c (Å): 3.5996 3.5996 8.7133
angles (deg): 90.00 90.00 90.00
Positions (direct):
Pm 0.0000 0.0000 0.0000
Dy 0.5000 0.5000 0.7069
Tm 0.5000 0.5000 0.2901
Ag 0.0000 0.0000 0.4914

Results
Crystal system   tetragonal
N(E_F)   4.9 states/eV/f.u.
Density   8594 kg/m³

---

Energies in eV/atom, measured from the most stable structure: version a 0.238; version b 0.000.

---

Version a
Below is a relaxed structure of Pr2DyAg2, with properties calculated at the PBE-GGA level.

a b c (Å): 6.6329 6.6329 10.8890
angles (deg): 118.11 118.11 43.85
Positions (direct):
Pr 0.0319 0.0319 0.1908
Pr 0.1801 0.1801 0.5915
Pr 0.8199 0.8199 0.4085
Pr 0.9681 0.9681 0.8092
Dy 0.2986 0.2986 0.1458
Dy 0.7014 0.7014 0.8542
Ag 0.3676 0.3676 0.9262
Ag 0.4508 0.4508 0.5965
Ag 0.5492 0.5492 0.4035
Ag 0.6324 0.6324 0.0738

Results
Crystal system   monoclinic
N(E_F)   4.8 states/eV/f.u.
Density   7668 kg/m³

---

Version b
Below is a relaxed structure of Pr2DyAg2, with properties calculated at the PBE-GGA level.

a b c (Å): 10.8519 10.8519 3.6214
angles (deg): 90.00 90.00 160.72
Positions (direct):
Pr 0.1767 0.8233 0.0000
Pr 0.8233 0.1767 0.0000
Dy 0.0000 0.0000 0.0000
Ag 0.4191 0.5809 0.5000
Ag 0.5809 0.4191 0.5000

Results
Crystal system   orthorhombic
N(E_F)   5.7 states/eV/f.u.
Density   7782 kg/m³

---

Energies in eV/atom, measured from the most stable structure: version a 0.000; version b 0.013.

---

Version a
Below is a relaxed structure of PrDyAg3, with properties calculated at the PBE-GGA level.

a b c (Å): 14.2074 14.2074 4.8284
angles (deg): 90.00 90.00 165.46
Positions (direct):
Pr 0.0753 0.9247 0.7500
Pr 0.9247 0.0753 0.2500
Dy 0.2098 0.7902 0.2500
Dy 0.7902 0.2098 0.7500
Ag 0.3209 0.6791 0.2500
Ag 0.3774 0.6226 0.7500
Ag 0.4759 0.5241 0.7500
Ag 0.5241 0.4759 0.2500
Ag 0.6226 0.3774 0.2500
Ag 0.6791 0.3209 0.7500

Results
Crystal system   orthorhombic
N(E_F)   4.5 states/eV/f.u.
Density   8509 kg/m³

---

Version b
Below is a relaxed structure of PrDyAg3, with properties calculated at the PBE-GGA level.

a b c (Å): 7.8167 5.6527 11.9918
angles (deg): 90.00 109.67 90.00
Positions (direct):
Pr 0.1176 0.2478 0.1020
Pr 0.1176 0.2522 0.6020
Pr 0.8824 0.7478 0.3980
Pr 0.8824 0.7522 0.8980
Dy 0.3867 0.6387 0.8519
Dy 0.3867 0.8613 0.3519
Dy 0.6133 0.1387 0.6481
Dy 0.6133 0.3613 0.1481
Ag 0.0188 0.7274 0.1858
Ag 0.0188 0.7726 0.6858
Ag 0.3079 0.7484 0.0851
Ag 0.3079 0.7516 0.5851
Ag 0.3383 0.1312 0.9211
Ag 0.3383 0.3688 0.4211
Ag 0.6617 0.6312 0.5789
Ag 0.6617 0.8688 0.0789
Ag 0.6921 0.2484 0.4149
Ag 0.6921 0.2516 0.9149
Ag 0.9812 0.2274 0.3142
Ag 0.9812 0.2726 0.8142

Results
Crystal system   monoclinic
N(E_F)   3.8 states/eV/f.u.
Density   8347 kg/m³

---

Energies in eV/atom, measured from the most stable structure: version a 0.000; version b 0.092.

---

Version a
Below is a relaxed structure of PrDy4Ag, with properties calculated at the PBE-GGA level.

a b c (Å): 3.5930 3.5930 13.9088
angles (deg): 90.00 90.00 90.00
Positions (direct):
Pr 0.0000 0.0000 0.0000
Dy 0.0000 0.0000 0.3652
Dy 0.0000 0.0000 0.6348
Dy 0.5000 0.5000 0.1846
Dy 0.5000 0.5000 0.8154
Ag 0.5000 0.5000 0.5000

Results
Crystal system   tetragonal
N(E_F)   8.1 states/eV/f.u.
Density   8312 kg/m³

---

Version b
Below is a relaxed structure of PrDy4Ag, with properties calculated at the PBE-GGA level.

a b c (Å): 10.9512 10.9512 6.5220
angles (deg): 90.00 90.00 151.37
Positions (direct):
Pr 0.1359 0.8641 0.5000
Pr 0.8641 0.1359 0.0000
Dy 0.0674 0.9326 0.0105
Dy 0.2596 0.7404 0.1324
Dy 0.3264 0.6736 0.6446
Dy 0.4663 0.5337 0.8536
Dy 0.5337 0.4663 0.3536
Dy 0.6736 0.3264 0.1446
Dy 0.7404 0.2596 0.6324
Dy 0.9326 0.0674 0.5105
Ag 0.3986 0.6014 0.2582
Ag 0.6014 0.3986 0.7582

Results
Crystal system   orthorhombic
N(E_F)   9.2 states/eV/f.u.
Density   7963 kg/m³

---

Energies in eV/atom, measured from the most stable structure: version a 0.000; version b 0.133.

---

Version a
Below is a relaxed structure of PrDyAgRu, with properties calculated at the PBE-GGA level.

a b c (Å): 3.4820 3.4820 7.6797
angles (deg): 90.00 90.00 90.00
Positions (direct):
Pr 0.0000 0.0000 0.0000
Dy 0.0000 0.0000 0.5537
Ag 0.5000 0.5000 0.2969
Ru 0.5000 0.5000 0.7634

Results
Crystal system   tetragonal
N(E_F)   2.5 states/eV/f.u.
Density   9137 kg/m³

---

Version b
Below is a relaxed structure of PrDyAgRu, with properties calculated at the PBE-GGA level.

a b c (Å): 5.0628 5.0628 5.0628
angles (deg): 60.00 60.00 60.00
Positions (direct):
Pr 0.0000 0.0000 0.0000
Dy 0.5000 0.5000 0.5000
Ag 0.7500 0.7500 0.7500
Ru 0.2500 0.2500 0.2500

Results
Crystal system   cubic
N(E_F)   3.2 states/eV/f.u.
Density   9272 kg/m³

---

Energies in eV/atom, measured from the most stable structure: version a 0.000; version b 0.069.

---

Version a
Below is a relaxed structure of Dy3Ag2Pt, with properties calculated at the PBE-GGA level.

a b c (Å): 7.3340 7.3340 7.9413
angles (deg): 105.41 105.41 48.16
Positions (direct):
Dy 0.0165 0.9835 0.7500
Dy 0.2652 0.4340 0.4178
Dy 0.4340 0.2652 0.9178
Dy 0.5660 0.7348 0.0822
Dy 0.7348 0.5660 0.5822
Dy 0.9835 0.0165 0.2500
Ag 0.0864 0.2681 0.0630
Ag 0.2681 0.0864 0.5630
Ag 0.7319 0.9136 0.4370
Ag 0.9136 0.7319 0.9370
Pt 0.4913 0.5087 0.2500
Pt 0.5087 0.4913 0.7500

Results
Crystal system   monoclinic
N(E_F)   4.1 states/eV/f.u.
Density   9799 kg/m³

---

Version b
Below is a relaxed structure of Dy3Ag2Pt, with properties calculated at the PBE-GGA level.

a b c (Å): 5.0545 5.0545 6.2092
angles (deg): 90.00 90.00 120.00
Positions (direct):
Dy 0.0000 0.0000 0.0000
Dy 0.3333 0.6667 0.6481
Dy 0.6667 0.3333 0.3519
Ag 0.3333 0.6667 0.1417
Ag 0.6667 0.3333 0.8583
Pt 0.0000 0.0000 0.5000

Results
Crystal system   trigonal
N(E_F)   3.6 states/eV/f.u.
Density   10858 kg/m³

---

Energies in eV/atom, measured from the most stable structure: version a 0.146; version b 0.000.

---

Version a
Below is a relaxed structure of Dy4AgPt, with properties calculated at the PBE-GGA level.

a b c (Å): 9.5789 9.5789 9.5789
angles (deg): 60.00 60.00 60.00
Positions (direct):
Dy 0.1851 0.1851 0.8149
Dy 0.1851 0.8149 0.1851
Dy 0.1851 0.8149 0.8149
Dy 0.3941 0.3941 0.3941
Dy 0.3941 0.3941 0.8177
Dy 0.3941 0.8177 0.3941
Dy 0.5609 0.5609 0.9391
Dy 0.5609 0.9391 0.5609
Dy 0.5609 0.9391 0.9391
Dy 0.8149 0.1851 0.1851
Dy 0.8149 0.1851 0.8149
Dy 0.8149 0.8149 0.1851
Dy 0.8177 0.3941 0.3941
Dy 0.9391 0.5609 0.5609
Dy 0.9391 0.5609 0.9391
Dy 0.9391 0.9391 0.5609
Ag 0.1665 0.1665 0.1665
Ag 0.1665 0.1665 0.5005
Ag 0.1665 0.5005 0.1665
Ag 0.5005 0.1665 0.1665
Pt 0.1837 0.6054 0.6054
Pt 0.6054 0.1837 0.6054
Pt 0.6054 0.6054 0.1837
Pt 0.6054 0.6054 0.6054

Results
Crystal system   cubic
N(E_F)   5.9 states/eV/f.u.
Density   10185 kg/m³

---

Version b
Below is a relaxed structure of Dy4AgPt, with properties calculated at the PBE-GGA level.

a b c (Å): 4.9187 4.9187 7.0566
angles (deg): 90.00 90.00 90.00
Positions (direct):
Dy 0.0000 0.5000 0.2371
Dy 0.0000 0.5000 0.7629
Dy 0.5000 0.0000 0.2371
Dy 0.5000 0.0000 0.7629
Ag 0.0000 0.0000 0.5000
Pt 0.5000 0.5000 0.0000

Results
Crystal system   tetragonal
N(E_F)   7.1 states/eV/f.u.
Density   9269 kg/m³

---

Energies in eV/atom, measured from the most stable structure: version a 0.000; version b 0.188.